Record 1
Entry from Alexandria via LeMat-Bulk: a geometry-optimized Dy6InAu5 structure (PBE-GGA).

Cell: 5.084 7.335 8.095 Å, 90.00 108.36 90.00°
Sites, in units of the cell vectors:
Dy (0.000, 0.237, 0.000)
Dy (0.000, 0.763, 0.000)
Dy (0.330, 0.248, 0.659)
Dy (0.330, 0.752, 0.659)
Dy (0.670, 0.248, 0.341)
Dy (0.670, 0.752, 0.341)
In (0.500, 0.500, 0.000)
Au (0.154, 0.500, 0.309)
Au (0.168, 0.000, 0.336)
Au (0.500, 0.000, 0.000)
Au (0.832, 0.000, 0.664)
Au (0.846, 0.500, 0.691)

Total magnetization = 0.000 Bohr magnetons per cell
DFT formation energy = -0.7846 eV per atom
E = -56.15 eV per cell


Record 2
Entry from Alexandria via LeMat-Bulk: a geometry-optimized AcSeO4 structure (PBE-GGA).

Cell: 6.153 8.850 8.129 Å, 90.00 120.20 90.00°
Sites, in units of the cell vectors:
Ac (0.094, 0.042, 0.306)
Ac (0.094, 0.458, 0.806)
Ac (0.906, 0.542, 0.194)
Ac (0.906, 0.958, 0.694)
Se (0.445, 0.700, 0.692)
Se (0.445, 0.800, 0.192)
Se (0.555, 0.200, 0.808)
Se (0.555, 0.300, 0.308)
O (0.170, 0.195, 0.707)
O (0.170, 0.305, 0.207)
O (0.220, 0.563, 0.554)
O (0.220, 0.937, 0.054)
O (0.276, 0.632, 0.155)
O (0.276, 0.868, 0.655)
O (0.475, 0.645, 0.907)
O (0.475, 0.855, 0.407)
O (0.525, 0.145, 0.593)
O (0.525, 0.355, 0.093)
O (0.724, 0.132, 0.345)
O (0.724, 0.368, 0.845)
O (0.780, 0.063, 0.946)
O (0.780, 0.437, 0.446)
O (0.830, 0.695, 0.793)
O (0.830, 0.805, 0.293)

ΔE_f (raw) = -1776 meV/atom
Total magnetization = 4.024 Bohr magnetons per cell
Polymorph energy (0 for the lowest one) = 0.0000 eV/atom
E = -152.33 eV per cell


Record 3
Entry from Alexandria via LeMat-Bulk: a geometry-optimized V2OsPdPt structure (PBE-GGA).

Cell: 4.489 4.489 4.784 Å, 90.00 90.00 90.00°
Sites, in units of the cell vectors:
V (0.000, 0.500, 0.000)
V (0.500, 0.000, 0.000)
Os (0.000, 0.000, 0.500)
Pd (0.500, 0.500, 0.500)
Pt (0.500, 0.500, 0.000)

Total magnetization = 0.001 Bohr magnetons per cell
DFT formation energy = 1.5916 eV per atom
E = -32.74 eV per cell


Record 4
Entry from Alexandria via LeMat-Bulk: a geometry-optimized IrRhF3 structure (PBE-GGA).

Cell: 4.189 4.189 4.189 Å, 90.00 90.00 90.00°
Sites, in units of the cell vectors:
Ir (0.000, 0.000, 0.000)
Rh (0.500, 0.500, 0.500)
F (0.000, 0.500, 0.500)
F (0.500, 0.000, 0.500)
F (0.500, 0.500, 0.000)

ΔE_f (raw) = 164 meV/atom
Total magnetization = 2.098 Bohr magnetons per cell
Polymorph energy (0 for the lowest one) = 0.0886 eV/atom
E = -21.01 eV per cell


Record 5
Entry from Alexandria via LeMat-Bulk: a geometry-optimized CaScB structure (PBE-GGA).

Cell: 4.607 4.607 9.167 Å, 90.00 90.00 120.00°
Sites, in units of the cell vectors:
Ca (0.333, 0.667, 0.250)
Ca (0.667, 0.333, 0.750)
Sc (0.000, 0.000, 0.000)
Sc (0.000, 0.000, 0.500)
B (0.000, 0.000, 0.250)
B (0.000, 0.000, 0.750)

Total magnetization = 0.000 Bohr magnetons per cell
DFT formation energy = 0.7060 eV per atom
Polymorph energy (0 for the lowest one) = 0.9404 eV/atom
E = -25.79 eV per cell


Record 6
Entry from Alexandria via LeMat-Bulk: a geometry-optimized NbGaFe structure (PBE-GGA).

Cell: 4.282 4.282 2.769 Å, 90.00 90.00 120.00°
Sites, in units of the cell vectors:
Nb (0.000, 0.000, 0.000)
Ga (0.333, 0.667, 0.501)
Fe (0.667, 0.333, 0.386)

Total magnetization = 1.130 Bohr magnetons per cell
DFT formation energy = -0.1478 eV per atom
E = -22.00 eV per cell


Record 7
Entry from Alexandria via LeMat-Bulk: a geometry-optimized LiTl8Bi2 structure (PBE-GGA).

Cell: 7.554 7.554 7.508 Å, 112.69 112.69 78.40°
Sites, in units of the cell vectors:
Li (0.000, 0.000, 0.000)
Tl (0.100, 0.574, 0.848)
Tl (0.106, 0.106, 0.745)
Tl (0.425, 0.425, 0.226)
Tl (0.426, 0.900, 0.152)
Tl (0.574, 0.100, 0.848)
Tl (0.575, 0.575, 0.774)
Tl (0.894, 0.894, 0.255)
Tl (0.900, 0.426, 0.152)
Bi (0.246, 0.246, 0.466)
Bi (0.754, 0.754, 0.534)

Total magnetization = 0.000 Bohr magnetons per cell
DFT formation energy = 0.0232 eV per atom
Polymorph energy (0 for the lowest one) = 0.0527 eV/atom
E = -28.35 eV per cell


Record 8
Entry from Alexandria via LeMat-Bulk: a geometry-optimized AcBi2SbPd2 structure (PBE-GGA).

Cell: 8.917 8.917 8.917 Å, 149.02 149.02 44.38°
Sites, in units of the cell vectors:
Ac (0.000, 0.000, 0.000)
Bi (0.250, 0.750, 0.500)
Bi (0.750, 0.250, 0.500)
Sb (0.500, 0.500, 0.000)
Pd (0.342, 0.342, 0.000)
Pd (0.658, 0.658, 0.000)

ΔE_f (raw) = -370 meV/atom
Total magnetization = 0.000 Bohr magnetons per cell
E = -28.60 eV per cell


Record 9
Entry from Alexandria via LeMat-Bulk: a geometry-optimized TiFe3S structure (PBE-GGA).

Cell: 4.122 4.122 4.122 Å, 90.00 90.00 90.00°
Sites, in units of the cell vectors:
Ti (0.000, 0.000, 0.000)
Fe (0.000, 0.500, 0.500)
Fe (0.500, 0.000, 0.500)
Fe (0.500, 0.500, 0.000)
S (0.500, 0.500, 0.500)

ΔE_f (raw) = 91 meV/atom
Total magnetization = 4.064 Bohr magnetons per cell
Polymorph energy (0 for the lowest one) = 0.0000 eV/atom
E = -36.96 eV per cell


Record 10
Entry from Alexandria via LeMat-Bulk: a geometry-optimized MgReNi2 structure (PBE-GGA).

Cell: 4.207 4.207 4.207 Å, 60.00 60.00 60.00°
Sites, in units of the cell vectors:
Mg (0.000, 0.000, 0.000)
Re (0.250, 0.250, 0.250)
Ni (0.500, 0.500, 0.500)
Ni (0.750, 0.750, 0.750)

Total magnetization = 0.999 Bohr magnetons per cell
DFT formation energy = 0.3734 eV per atom
E = -24.11 eV per cell


Record 11
Entry from Alexandria via LeMat-Bulk: a geometry-optimized Cs2VMoCl6 structure (PBE-GGA).

Cell: 7.294 7.294 7.294 Å, 119.97 119.97 90.05°
Sites, in units of the cell vectors:
Cs (0.250, 0.750, 0.500)
Cs (0.750, 0.250, 0.500)
V (0.000, 0.000, 0.000)
Mo (0.500, 0.500, 0.000)
Cl (0.249, 0.249, 0.000)
Cl (0.249, 0.249, 0.498)
Cl (0.249, 0.751, 0.000)
Cl (0.751, 0.249, 0.000)
Cl (0.751, 0.751, 0.000)
Cl (0.751, 0.751, 0.502)

ΔE_f (raw) = -1198 meV/atom
Total magnetization = 7.000 Bohr magnetons per cell
E = -44.72 eV per cell


Record 12
Entry from Alexandria via LeMat-Bulk: a geometry-optimized Rb2TlTcRh structure (PBE-GGA).

Cell: 6.584 6.584 4.643 Å, 90.00 90.00 90.00°
Sites, in units of the cell vectors:
Rb (0.000, 0.500, 0.000)
Rb (0.500, 0.000, 0.000)
Tl (0.000, 0.000, 0.500)
Tc (0.500, 0.500, 0.500)
Rh (0.500, 0.500, 0.000)

Total magnetization = 1.977 Bohr magnetons per cell
DFT formation energy = 0.9819 eV per atom
E = -17.11 eV per cell


Repeat the ninth record exactly.
Entry from Alexandria via LeMat-Bulk: a geometry-optimized TiFe3S structure (PBE-GGA).

Cell: 4.122 4.122 4.122 Å, 90.00 90.00 90.00°
Sites, in units of the cell vectors:
Ti (0.000, 0.000, 0.000)
Fe (0.000, 0.500, 0.500)
Fe (0.500, 0.000, 0.500)
Fe (0.500, 0.500, 0.000)
S (0.500, 0.500, 0.500)

ΔE_f (raw) = 91 meV/atom
Total magnetization = 4.064 Bohr magnetons per cell
Polymorph energy (0 for the lowest one) = 0.0000 eV/atom
E = -36.96 eV per cell